Below is an optimized crystal structure of Ta2MnTe, with properties calculated at the PBE level.

a = 4.6582 Å, b = 4.6582 Å, c = 3.3489 Å
α = 90.00°, β = 90.00°, γ = 102.55°
Closest atoms and distances in Å follow each position.
Sites, in units of the cell vectors:
Mn 0.0000 0.5000 0.5000  8 Ta 2.87, 2 Te 2.91
Ta 0.5000 0.5000 0.0000  4 Mn 2.87, 4 Te 2.87, 2 Ta 2.91
Ta 0.0000 0.0000 0.0000  4 Te 2.87, 4 Mn 2.87, 2 Ta 2.91
Te 0.5000 0.0000 0.5000  8 Ta 2.87, 2 Mn 2.91

Summary:
Space-group type: Cmmm (65)
Magnetic moment in μB/f.u.: 2.13
Total DFT energy (no corrections) in eV/cell: -34.931
Formation energy from raw total energies in eV/atom: 0.271
V in Å³ per atom: 17.73